(1)
This record from Alexandria via LeMat-Bulk describes an optimized crystal structure of RbLaN. The functional is PBE.

Lattice parameters (Å, degrees): 7.408 3.882 15.673 90.00 92.71 90.00
Fractional coordinates of all 12 atoms:
N 0.509 0.750 0.826
N 0.508 0.750 0.326
N 0.491 0.250 0.174
N 0.492 0.250 0.674
Rb 0.265 0.250 0.436
Rb 0.265 0.250 0.937
Rb 0.735 0.750 0.564
Rb 0.735 0.750 0.063
La 0.324 0.750 0.704
La 0.324 0.750 0.204
La 0.676 0.250 0.296
La 0.676 0.250 0.796

Summary:
- Density: 3517 kg/m3
- Magnetic moment: 0.000 μB per formula unit
- Fermi-level density of states: 1.06 states/eV/f.u.
- Total DFT energy (no corrections): -64.05 eV per cell

---

(2)
This record from Alexandria via LeMat-Bulk describes an optimized crystal structure of Rb3LaN6. The functional is PBE.

Lattice parameters (Å, degrees): 8.345 8.345 8.345 90.88 90.88 90.88
Site moments in Bohr magnetons follow the coordinates.
Fractional coordinates of all 20 atoms:
Rb 0.586 0.914 0.250  0.03
Rb 0.914 0.250 0.586  0.03
Rb 0.250 0.586 0.914  0.03
Rb 0.086 0.750 0.414  0.03
Rb 0.750 0.414 0.086  0.03
Rb 0.414 0.086 0.750  0.03
La 0.500 0.500 0.500  0.12
La 0.000 0.000 0.000  0.12
N 0.063 0.272 0.930  1.28
N 0.272 0.930 0.063  1.28
N 0.930 0.063 0.272  1.28
N 0.563 0.430 0.772  1.28
N 0.430 0.772 0.563  1.28
N 0.772 0.563 0.430  1.28
N 0.937 0.728 0.070  1.28
N 0.728 0.070 0.937  1.28
N 0.070 0.937 0.728  1.28
N 0.437 0.570 0.228  1.28
N 0.570 0.228 0.437  1.28
N 0.228 0.437 0.570  1.28

Summary:
- Density: 2741 kg/m3
- Magnetic moment: 12.000 μB per formula unit
- Fermi-level density of states: 2.71 states/eV/f.u.
- Total DFT energy (no corrections): -86.11 eV per cell

---

(3)
This record from Alexandria via LeMat-Bulk describes an optimized crystal structure of Rb2La2N. The functional is PBE.

Lattice parameters (Å, degrees): 7.050 7.050 8.150 90.00 90.00 90.00
Fractional coordinates of all 10 atoms:
N 0.000 0.000 0.000
N 0.500 0.500 0.000
Rb 0.194 0.694 0.500
Rb 0.694 0.806 0.500
Rb 0.806 0.306 0.500
Rb 0.306 0.194 0.500
La 0.294 0.794 0.000
La 0.794 0.706 0.000
La 0.706 0.206 0.000
La 0.206 0.294 0.000

Summary:
- E above lowest polymorph: 0.000 eV per atom
- Density: 3794 kg/m3
- Magnetic moment: 0.001 μB per formula unit
- Fermi-level density of states: 7.76 states/eV/f.u.

---

(4)
This record from Alexandria via LeMat-Bulk describes an optimized crystal structure of RbLaReN4. The functional is PBE.

Lattice parameters (Å, degrees): 6.411 6.080 8.065 90.00 102.80 90.00
Site moments in Bohr magnetons follow the coordinates.
Fractional coordinates of all 14 atoms:
Rb 0.695 0.750 0.914  0.00
Rb 0.305 0.250 0.086  0.00
La 0.781 0.750 0.436  0.01
La 0.219 0.250 0.564  0.01
Re 0.258 0.750 0.347  -0.11
Re 0.742 0.250 0.653  -0.11
N 0.923 0.487 0.667  0.17
N 0.077 0.987 0.333  0.17
N 0.077 0.513 0.333  0.17
N 0.923 0.013 0.667  0.17
N 0.441 0.750 0.201  0.20
N 0.559 0.250 0.799  0.20
N 0.437 0.750 0.556  0.25
N 0.563 0.250 0.444  0.25

Summary:
- Density: 5055 kg/m3
- Magnetic moment: 1.026 μB per formula unit
- Fermi-level density of states: 2.05 states/eV/f.u.
- Total DFT energy (no corrections): -109.58 eV per cell

---

(5)
This record from Alexandria via LeMat-Bulk describes an optimized crystal structure of RbLaS2N. The functional is PBE.

Lattice parameters (Å, degrees): 5.627 5.627 5.031 90.00 90.00 90.00
Site moments in Bohr magnetons follow the coordinates.
Fractional coordinates of all 5 atoms:
S 0.000 0.500 0.000  0.17
S 0.500 0.000 0.000  0.17
N 0.000 0.000 0.500  1.28
Rb 0.500 0.500 0.500  0.00
La 0.000 0.000 0.000  0.04

Summary:
- E above lowest polymorph: 0.000 eV per atom
- Density: 3153 kg/m3
- Magnetic moment: 2.570 μB per formula unit
- Fermi-level density of states: 5.26 states/eV/f.u.

---

(6)
This record from Alexandria via LeMat-Bulk describes an optimized crystal structure of RbLaS2N. The functional is PBE.

Lattice parameters (Å, degrees): 5.431 5.431 4.438 90.00 90.00 90.00
Site moments in Bohr magnetons follow the coordinates.
Fractional coordinates of all 5 atoms:
S 0.000 0.500 0.000  0.06
S 0.500 0.000 0.000  0.06
N 0.000 0.000 0.500  0.88
Rb 0.000 0.000 0.000  0.02
La 0.500 0.500 0.500  -0.04

Summary:
- E above lowest polymorph: 1.063 eV per atom
- Density: 3838 kg/m3
- Magnetic moment: 1.400 μB per formula unit
- Fermi-level density of states: 2.36 states/eV/f.u.

---

(7)
This record from Alexandria via LeMat-Bulk describes an optimized crystal structure of RbLaSe2N. The functional is PBE.

Lattice parameters (Å, degrees): 6.107 6.107 4.375 90.00 90.00 90.00
Site moments in Bohr magnetons follow the coordinates.
Fractional coordinates of all 5 atoms:
N 0.000 0.000 0.500  0.36
Se 0.000 0.500 0.000  0.48
Se 0.500 0.000 0.000  0.48
Rb 0.500 0.500 0.500  0.00
La 0.000 0.000 0.000  0.01

Summary:
- E above lowest polymorph: 0.000 eV per atom
- Density: 4033 kg/m3
- Magnetic moment: 2.165 μB per formula unit
- Fermi-level density of states: 4.61 states/eV/f.u.

---

(8)
This record from Alexandria via LeMat-Bulk describes an optimized crystal structure of RbLaSe2N. The functional is PBE.

Lattice parameters (Å, degrees): 5.708 5.708 4.472 90.00 90.00 90.00
Site moments in Bohr magnetons follow the coordinates.
Fractional coordinates of all 5 atoms:
N 0.000 0.000 0.500  0.95
Se 0.000 0.500 0.000  0.11
Se 0.500 0.000 0.000  0.11
Rb 0.000 0.000 0.000  0.04
La 0.500 0.500 0.500  -0.03

Summary:
- E above lowest polymorph: 1.015 eV per atom
- Density: 4516 kg/m3
- Magnetic moment: 1.667 μB per formula unit
- Fermi-level density of states: 2.60 states/eV/f.u.

---

(9)
This record from Alexandria via LeMat-Bulk describes an optimized crystal structure of RbLaTaN3. The functional is PBE.

Lattice parameters (Å, degrees): 4.092 7.394 8.350 104.60 90.00 106.07
Site moments in Bohr magnetons follow the coordinates.
Fractional coordinates of all 12 atoms:
Rb 0.355 0.711 0.937  0.00
Rb 0.645 0.289 0.063  0.00
La 0.662 0.323 0.587  0.04
La 0.338 0.677 0.413  0.04
Ta 0.008 0.016 0.317  -0.05
Ta 0.992 0.984 0.683  -0.05
N 0.865 0.729 0.229  0.26
N 0.841 0.683 0.619  0.23
N 0.511 0.022 0.326  0.25
N 0.159 0.317 0.381  0.23
N 0.489 0.978 0.674  0.25
N 0.135 0.271 0.771  0.26

Summary:
- Density: 6341 kg/m3
- Magnetic moment: 1.033 μB per formula unit
- Fermi-level density of states: 2.68 states/eV/f.u.
- Total DFT energy (no corrections): -92.74 eV per cell

---

(10)
This record from Alexandria via LeMat-Bulk describes an optimized crystal structure of RbLa2Tc2N6. The functional is PBE.

Lattice parameters (Å, degrees): 6.924 6.369 6.867 113.71 83.79 63.77
Fractional coordinates of all 11 atoms:
Rb 0.500 0.000 0.500
La 0.826 0.368 0.779
La 0.174 0.632 0.221
Tc 0.163 0.777 0.820
Tc 0.837 0.223 0.180
N 0.402 0.709 0.913
N 0.924 0.455 0.202
N 0.154 0.870 0.597
N 0.076 0.545 0.798
N 0.846 0.130 0.403
N 0.598 0.291 0.087

Summary:
- Density: 4582 kg/m3
- Magnetic moment: 0.000 μB per formula unit
- Fermi-level density of states: 3.30 states/eV/f.u.
- Total DFT energy (no corrections): -87.12 eV per cell

---

(11)
This record from Alexandria via LeMat-Bulk describes an optimized crystal structure of RbLaTeN2. The functional is PBE.

Lattice parameters (Å, degrees): 4.647 4.647 6.423 90.00 90.00 90.00
Site moments in Bohr magnetons follow the coordinates.
Fractional coordinates of all 5 atoms:
N 0.000 0.500 0.000  0.80
N 0.500 0.000 0.000  0.80
Te 0.000 0.000 0.500  0.04
Rb 0.000 0.000 0.000  0.05
La 0.500 0.500 0.500  -0.09

Summary:
- E above lowest polymorph: 1.044 eV per atom
- Density: 4549 kg/m3
- Magnetic moment: 2.270 μB per formula unit
- Fermi-level density of states: 2.77 states/eV/f.u.

---

(12)
This record from Alexandria via LeMat-Bulk describes an optimized crystal structure of RbLaTeN2. The functional is PBE.

Lattice parameters (Å, degrees): 4.989 4.989 6.417 90.00 90.00 90.00
Site moments in Bohr magnetons follow the coordinates.
Fractional coordinates of all 5 atoms:
N 0.000 0.500 0.000  1.14
N 0.500 0.000 0.000  1.14
Te 0.000 0.000 0.500  0.27
Rb 0.500 0.500 0.500  0.01
La 0.000 0.000 0.000  0.07

Summary:
- E above lowest polymorph: 0.000 eV per atom
- Density: 3951 kg/m3
- Magnetic moment: 4.016 μB per formula unit
- Fermi-level density of states: 3.45 states/eV/f.u.

---

(13)
This record from Alexandria via LeMat-Bulk describes an optimized crystal structure of Rb2LaVN. The functional is PBE.

Lattice parameters (Å, degrees): 7.455 3.721 7.455 90.00 90.00 90.00
Site moments in Bohr magnetons follow the coordinates.
Fractional coordinates of all 5 atoms:
N 0.000 0.500 0.000  -0.20
V 0.000 0.000 0.000  1.98
Rb 0.000 0.000 0.500  -0.02
Rb 0.500 0.000 0.000  -0.02
La 0.500 0.500 0.500  -0.74

Summary:
- Density: 3009 kg/m3
- Magnetic moment: 0.114 μB per formula unit
- Fermi-level density of states: 3.80 states/eV/f.u.
- Total DFT energy (no corrections): -20.84 eV per cell

---

(14)
This record from Alexandria via LeMat-Bulk describes an optimized crystal structure of LaReN3. The functional is PBE.

Lattice parameters (Å, degrees): 3.951 6.287 3.047 90.00 90.00 112.84
Fractional coordinates of all 5 atoms:
Re 0.634 0.216 0.293
N 0.563 0.982 0.793
N 0.190 0.224 0.293
N 0.846 0.481 0.793
La 0.436 0.664 0.293

Summary:
- Density: 8739 kg/m3
- Magnetic moment: 0.000 μB per formula unit
- Fermi-level density of states: 1.40 states/eV/f.u.
- Total DFT energy (no corrections): -44.28 eV per cell

---

(15)
This record from Alexandria via LeMat-Bulk describes an optimized crystal structure of LaReN3. The functional is PBE.

Lattice parameters (Å, degrees): 6.884 3.975 6.728 106.92 116.23 82.98
Fractional coordinates of all 10 atoms:
Re 0.860 0.433 0.851
Re 0.000 0.012 0.134
N 0.298 0.969 0.347
N 0.427 0.400 0.860
N 0.123 0.139 0.948
N 0.861 0.378 0.532
N 0.881 0.154 0.351
N 0.583 0.465 0.829
La 0.463 0.406 0.256
La 0.185 0.824 0.631

Summary:
- Density: 7718 kg/m3
- Magnetic moment: 0.000 μB per formula unit
- Fermi-level density of states: 0.23 states/eV/f.u.
- Total DFT energy (no corrections): -88.90 eV per cell

---

(16)
This record from Alexandria via LeMat-Bulk describes an optimized crystal structure of LaReN3. The functional is PBE.

Lattice parameters (Å, degrees): 12.118 7.660 7.660 88.70 129.34 50.66
Fractional coordinates of all 20 atoms:
Re 0.750 0.198 0.698
Re 0.250 0.802 0.302
Re 0.750 0.550 0.050
Re 0.250 0.450 0.950
N 0.441 0.387 0.509
N 0.059 0.009 0.887
N 0.559 0.613 0.491
N 0.941 0.991 0.113
N 0.021 0.266 0.163
N 0.479 0.663 0.766
N 0.979 0.734 0.837
N 0.521 0.337 0.234
N 0.636 0.890 0.904
N 0.864 0.404 0.390
N 0.364 0.110 0.096
N 0.136 0.596 0.610
La 0.166 0.447 0.332
La 0.334 0.832 0.947
La 0.834 0.553 0.668
La 0.666 0.168 0.053

Summary:
- Density: 8144 kg/m3
- Magnetic moment: 0.000 μB per formula unit
- Fermi-level density of states: 0.25 states/eV/f.u.
- Total DFT energy (no corrections): -180.94 eV per cell

---

(17)
This record from Alexandria via LeMat-Bulk describes an optimized crystal structure of LaReN3. The functional is PBE.

Lattice parameters (Å, degrees): 4.039 4.363 3.905 89.99 90.00 90.00
Fractional coordinates of all 5 atoms:
Re 0.605 0.455 0.786
N 0.605 0.353 0.286
N 0.605 0.681 0.286
N 0.105 0.456 0.786
La 0.105 0.004 0.286

Summary:
- Density: 8860 kg/m3
- Magnetic moment: 0.000 μB per formula unit
- Fermi-level density of states: 1.09 states/eV/f.u.
- Total DFT energy (no corrections): -44.01 eV per cell

---

(18)
This record from Alexandria via LeMat-Bulk describes an optimized crystal structure of LaReN3. The functional is PBE.

Lattice parameters (Å, degrees): 6.699 5.715 4.646 86.68 112.32 63.00
Fractional coordinates of all 10 atoms:
Re 0.610 0.959 0.561
Re 0.877 0.902 0.147
N 0.973 0.832 0.776
N 0.165 0.525 0.404
N 0.912 0.196 0.207
N 0.575 0.664 0.501
N 0.323 0.336 0.304
N 0.515 0.029 0.932
La 0.038 0.296 0.771
La 0.450 0.565 0.937

Summary:
- Density: 8661 kg/m3
- Magnetic moment: 0.000 μB per formula unit
- Fermi-level density of states: 1.18 states/eV/f.u.
- Total DFT energy (no corrections): -90.21 eV per cell

---

(19)
This record from Alexandria via LeMat-Bulk describes an optimized crystal structure of LaRe4N12. The functional is PBE.

Lattice parameters (Å, degrees): 6.762 6.762 6.762 109.47 109.47 109.47
Fractional coordinates of all 17 atoms:
La 0.000 0.000 0.000
Re 0.000 0.500 0.000
Re 0.500 0.000 0.000
Re 0.500 0.500 0.500
Re 0.000 0.000 0.500
N 0.753 0.247 0.000
N 0.247 0.494 0.247
N 0.000 0.247 0.753
N 0.247 0.000 0.753
N 0.000 0.753 0.247
N 0.753 0.506 0.753
N 0.494 0.247 0.247
N 0.506 0.753 0.753
N 0.753 0.000 0.247
N 0.753 0.753 0.506
N 0.247 0.247 0.494
N 0.247 0.753 0.000

Summary:
- Density: 7337 kg/m3
- Magnetic moment: 0.009 μB per formula unit
- Fermi-level density of states: 11.76 states/eV/f.u.
- Total DFT energy (no corrections): -146.42 eV per cell

---

(20)
This record from Alexandria via LeMat-Bulk describes an optimized crystal structure of LaRe2N5. The functional is PBE.

Lattice parameters (Å, degrees): 5.748 5.748 6.871 114.73 114.73 90.00
Fractional coordinates of all 16 atoms:
La 0.750 0.750 0.500
La 0.250 0.250 0.500
Re 0.154 0.346 0.000
Re 0.654 0.154 0.000
Re 0.346 0.846 0.000
Re 0.846 0.654 0.000
N 0.528 0.739 0.767
N 0.761 0.972 0.233
N 0.000 0.000 0.000
N 0.500 0.500 0.000
N 0.239 0.028 0.767
N 0.739 0.239 0.767
N 0.028 0.528 0.767
N 0.261 0.761 0.233
N 0.972 0.472 0.233
N 0.472 0.261 0.233

Summary:
- Density: 10548 kg/m3
- Magnetic moment: 0.000 μB per formula unit
- Fermi-level density of states: 0.67 states/eV/f.u.
- Total DFT energy (no corrections): -144.37 eV per cell